1.
Computed, not measured: a relaxed structure of AcHfSb at the PBE level of DFT. Values from VASP.

```
&SYSTEM
  ibrav = 0, nat = 3, ntyp = 3
/
ATOMIC_SPECIES
Ac 227.00 Ac.upf
Hf 178.49 Hf.upf
Sb 121.76 Sb.upf
ATOMIC_POSITIONS crystal
Ac 0.0000 0.0000 0.0000
Hf 0.2500 0.2500 0.2500
Sb 0.7500 0.7500 0.7500
CELL_PARAMETERS angstrom
-3.9681 -0.1584 3.6817
-4.3276 -3.1513 -0.8172
-0.7228 -4.4417 3.0125
```

Summary:
excess energy over the best structure of this formula in the dataset: 201.3 kJ/mol of formula units
ρ: 7.796 Mg/m³
crystal system: cubic


2.
Computed, not measured: a relaxed structure of AcHfSb at the PBE level of DFT. Values from VASP.

```
&SYSTEM
  ibrav = 0, nat = 3, ntyp = 3
/
ATOMIC_SPECIES
Ac 227.00 Ac.upf
Hf 178.49 Hf.upf
Sb 121.76 Sb.upf
ATOMIC_POSITIONS crystal
Ac 0.0000 0.0000 0.0000
Hf 0.5000 0.5000 0.5000
Sb 0.7500 0.7500 0.7500
CELL_PARAMETERS angstrom
2.4772 3.9550 2.2561
-1.7146 1.8991 4.5080
2.7178 -0.7833 4.3438
```

Summary:
excess energy over the best structure of this formula in the dataset: 0.0 kJ/mol of formula units
ρ: 8.890 Mg/m³
crystal system: cubic


3.
Computed, not measured: a relaxed structure of AcHfSi at the PBE level of DFT. Values from VASP.

```
&SYSTEM
  ibrav = 0, nat = 3, ntyp = 3
/
ATOMIC_SPECIES
Ac 227.00 Ac.upf
Hf 178.49 Hf.upf
Si 28.09 Si.upf
ATOMIC_POSITIONS crystal
Ac 0.0000 0.0000 0.0000
Hf 0.2500 0.2500 0.2500
Si 0.7500 0.7500 0.7500
CELL_PARAMETERS angstrom
0.0000 3.6076 3.6076
3.6076 0.0000 3.6076
3.6076 3.6076 0.0000
```

Summary:
excess energy over the best structure of this formula in the dataset: 313.2 kJ/mol of formula units
ρ: 7.667 Mg/m³
crystal system: cubic


4.
Computed, not measured: a relaxed structure of AcHfSi at the PBE level of DFT. Values from VASP.

```
&SYSTEM
  ibrav = 0, nat = 3, ntyp = 3
/
ATOMIC_SPECIES
Ac 227.00 Ac.upf
Hf 178.49 Hf.upf
Si 28.09 Si.upf
ATOMIC_POSITIONS crystal
Ac 0.2500 0.2500 0.2500
Hf 0.7500 0.7500 0.7500
Si 0.0000 0.0000 0.0000
CELL_PARAMETERS angstrom
0.0000 3.4586 3.4586
3.4586 0.0000 3.4586
3.4586 3.4586 0.0000
```

Summary:
excess energy over the best structure of this formula in the dataset: 0.0 kJ/mol of formula units
ρ: 8.701 Mg/m³
crystal system: cubic